# 1
Computed, not measured: crystalline Pr4Sm4Ho3 at its relaxed geometry at the PBE level of DFT.

Output
E above lowest polymorph	0.065	eV per atom

Cell lengths 3.6641, 9.5756, 21.8445 Å; angles 90.00, 90.00, 90.00 degrees
Space group Immm (No. 71)
Unique sites:
Pr (0.0000, 0.1758, 0.1438) x8
Sm (0.0000, 0.3153, 0.0000) x4
Sm (0.0000, 0.5000, 0.2376) x4
Ho (0.0000, 0.0000, 0.3941) x4
Ho (0.0000, 0.5000, 0.5000) x2

# 2
Computed, not measured: crystalline ScTlRh2 at its relaxed geometry at the PBE level of DFT.

Output
E above lowest polymorph	0.120	eV per atom

Cell lengths 3.9119, 3.9119, 9.0287 Å; angles 90.00, 90.00, 90.00 degrees
Space group I-4m2 (No. 119)
Unique sites:
Sc (0.0000, 0.0000, 0.0000) x2
Tl (0.0000, 0.5000, 0.2500) x2
Rh (0.0000, 0.0000, 0.5000) x2
Rh (0.0000, 0.5000, 0.7500) x2

# 3
Computed, not measured: crystalline Cr2Ni5Rh at its relaxed geometry at the PBE level of DFT.

Output
E above lowest polymorph	0.059	eV per atom

Cell lengths 2.5239, 7.8255, 9.3574 Å; angles 90.00, 90.00, 90.00 degrees
Space group Immm (No. 71)
Unique sites:
Cr (0.0000, 0.0000, 0.2429) x4
Ni (0.0000, 0.0000, 0.5000) x2
Ni (0.0000, 0.2725, 0.1327) x8
Rh (0.0000, 0.5000, 0.5000) x2

Repeat the third record exactly.
Computed, not measured: crystalline Cr2Ni5Rh at its relaxed geometry at the PBE level of DFT.

Output
E above lowest polymorph	0.059	eV per atom

Cell lengths 2.5239, 7.8255, 9.3574 Å; angles 90.00, 90.00, 90.00 degrees
Space group Immm (No. 71)
Unique sites:
Cr (0.0000, 0.0000, 0.2429) x4
Ni (0.0000, 0.0000, 0.5000) x2
Ni (0.0000, 0.2725, 0.1327) x8
Rh (0.0000, 0.5000, 0.5000) x2